# Ba2CuH6Pd (PBE, relaxed)
# N(E_F): 2.68 states/eV per cell
# Energy: -3.716 eV per atom
data_Ba2CuH6Pd
_cell_length_a 5.607
_cell_length_b 5.607
_cell_length_c 8.390
_cell_angle_alpha 90.00
_cell_angle_beta 90.00
_cell_angle_gamma 90.00
_space_group_name_H-M_alt 'I 4/m m m'
_space_group_IT_number 139
_space_group_name_Hall '-I 4 2'
loop_
_atom_site_label
_atom_site_type_symbol
_atom_site_fract_x
_atom_site_fract_y
_atom_site_fract_z
Ba1 Ba 0.000 0.500 0.250
Cu1 Cu 0.000 0.000 0.000
H1 H 0.000 0.000 0.195
H2 H 0.227 0.227 0.500
Pd1 Pd 0.000 0.000 0.500